Record 1
# TbDy2Ho5In | Alexandria via LeMat-Bulk | GGA-PBE | relaxed
data_TbDy2Ho5In
_chemical_formula_sum 'Tb4 Dy8 Ho20 In4'
_cell_length_a 5.3298
_cell_length_b 20.0614
_cell_length_c 10.4470
_cell_angle_alpha 90.00
_cell_angle_beta 90.00
_cell_angle_gamma 90.00
_space_group_name_H-M_alt 'C m c m'
_space_group_IT_number 63
_space_group_name_Hall '-C 2c 2'
loop_
_atom_site_label
_atom_site_fract_x
_atom_site_fract_y
_atom_site_fract_z
Tb1 0.0000 0.2076 0.2500
Dy1 0.0000 0.1161 0.5406
Ho1 0.0000 0.0115 0.2500
Ho2 0.0000 0.2892 0.5504
Ho3 0.0000 0.3834 0.2500
Ho4 0.0000 0.5000 0.0000
In1 0.0000 0.4044 0.7500
# **Spin magnetization**: 0.00 μB per atom
# **Calculated formation energy**: -4 meV/atom
# **Electronic total energy**: -4.39 eV/atom

Record 2
# GaCu5Ni2 | Alexandria via LeMat-Bulk | GGA-PBE | relaxed
data_GaCu5Ni2
_chemical_formula_sum 'Ga2 Cu10 Ni4'
_cell_length_a 5.1356
_cell_length_b 10.2595
_cell_length_c 3.6074
_cell_angle_alpha 90.00
_cell_angle_beta 90.00
_cell_angle_gamma 90.00
_space_group_name_H-M_alt 'P b a m'
_space_group_IT_number 55
loop_
_space_group_symop_operation_xyz
'x,y,z'
'-x,-y,-z'
'-x,-y,z'
'x,y,-z'
'x+1/2,-y+1/2,-z'
'-x+1/2,y+1/2,z'
'-x+1/2,y+1/2,-z'
'x+1/2,-y+1/2,z'
loop_
_atom_site_label
_atom_site_fract_x
_atom_site_fract_y
_atom_site_fract_z
Ga1 0.0000 0.0000 0.0000
Cu1 0.0000 0.5000 0.0000
Cu2 0.0204 0.2515 0.0000
Cu3 0.2301 0.6299 0.5000
Ni1 0.2323 0.8796 0.5000
# **Spin magnetization**: 0.00 μB per atom
# **Calculated formation energy**: -107 meV/atom
# **Electronic total energy**: -4.49 eV/atom

Record 3
# Ti3Ga2Ge | Alexandria via LeMat-Bulk | GGA-PBE | relaxed
data_Ti3Ga2Ge
_chemical_formula_sum 'Ti12 Ga8 Ge4'
_cell_length_a 13.7296
_cell_length_b 5.2076
_cell_length_c 5.8750
_cell_angle_alpha 90.00
_cell_angle_beta 102.34
_cell_angle_gamma 90.00
_space_group_name_H-M_alt 'C 1 2/c 1'
_space_group_IT_number 15
loop_
_space_group_symop_operation_xyz
'x,y,z'
'-x,-y,-z'
'-x,y,-z+1/2'
'x,-y,z+1/2'
'x+1/2,y+1/2,z'
'-x+1/2,-y+1/2,-z'
'-x+1/2,y+1/2,-z+1/2'
'x+1/2,-y+1/2,z+1/2'
loop_
_atom_site_label
_atom_site_fract_x
_atom_site_fract_y
_atom_site_fract_z
Ti1 0.0000 0.0016 0.2500
Ti2 0.1632 0.5004 0.0816
Ga1 0.1690 0.0004 0.0843
Ge1 0.0000 0.4981 0.7500
# **Spin magnetization**: 0.00 μB per atom
# **Calculated formation energy**: -291 meV/atom
# **Electronic total energy**: -6.02 eV/atom

Record 4
# AgBAs2W | Alexandria via LeMat-Bulk | GGA-PBE | relaxed
data_AgBAs2W
_chemical_formula_sum 'Ag1 B1 As2 W1'
_cell_length_a 4.8291
_cell_length_b 4.8291
_cell_length_c 5.2413
_cell_angle_alpha 90.00
_cell_angle_beta 90.00
_cell_angle_gamma 90.00
_space_group_name_H-M_alt 'P 4/m m m'
_space_group_IT_number 123
_space_group_name_Hall '-P 4 2'
loop_
_atom_site_label
_atom_site_fract_x
_atom_site_fract_y
_atom_site_fract_z
Ag1 0.0000 0.0000 0.0000
B1 0.5000 0.5000 0.5000
As1 0.0000 0.5000 0.0000
W1 0.0000 0.0000 0.5000
# **Spin magnetization**: 0.63 μB per atom
# **Calculated formation energy**: 2509 meV/atom
# **Electronic total energy**: -3.85 eV/atom

Record 5
# TlIn2Os | Alexandria via LeMat-Bulk | GGA-PBE | relaxed
data_TlIn2Os
_chemical_formula_sum 'Tl1 In2 Os1'
_cell_length_a 3.5042
_cell_length_b 4.6480
_cell_length_c 5.5834
_cell_angle_alpha 90.00
_cell_angle_beta 101.56
_cell_angle_gamma 90.00
_space_group_name_H-M_alt 'P 1 2/m 1'
_space_group_IT_number 10
loop_
_space_group_symop_operation_xyz
'x,y,z'
'-x,-y,-z'
'-x,y,-z'
'x,-y,z'
loop_
_atom_site_label
_atom_site_fract_x
_atom_site_fract_y
_atom_site_fract_z
Tl1 0.0000 0.0000 0.0000
In1 0.3514 0.5000 0.7248
Os1 0.0000 0.0000 0.5000
# **Spin magnetization**: 0.00 μB per atom
# **Distance to the lowest polymorph of the same formula**: 213 meV per atom
# **Calculated formation energy**: 573 meV/atom
# **Electronic total energy**: -4.20 eV/atom

Record 6
# GdUIr | Alexandria via LeMat-Bulk | GGA-PBE | relaxed
data_GdUIr
_chemical_formula_sum 'Gd2 U2 Ir2'
_cell_length_a 3.5621
_cell_length_b 3.5621
_cell_length_c 10.7720
_cell_angle_alpha 90.00
_cell_angle_beta 90.00
_cell_angle_gamma 90.00
_space_group_name_H-M_alt 'I 4 m m'
_space_group_IT_number 107
_space_group_name_Hall 'I 4 -2'
loop_
_atom_site_label
_atom_site_fract_x
_atom_site_fract_y
_atom_site_fract_z
Gd1 0.0000 0.0000 0.0000
U1 0.0000 0.0000 0.2977
Ir1 0.0000 0.0000 0.6899
# **Spin magnetization**: 2.03 μB per atom
# **Calculated formation energy**: -269 meV/atom
# **Electronic total energy**: -11.68 eV/atom